[1]
VASP calculation (PBE) on a relaxed structure of MnIn3.

Output
- total moment (μB per cell) = 3.80
- E_form (eV per atom) = 0.2339

Cell lengths 3.2809, 3.2809, 9.9172 Å; angles 90.00, 90.00, 120.00 degrees
Closest atoms and distances in Å follow each position.
Space group P-6m2 (No. 187)
One atom of each set of equivalent atoms:
Mn (0.0000, 0.0000, 0.0000) [1 per cell]  6 In 2.89
In (0.0000, 0.0000, 0.5000) [1 per cell]  12 In 3.28-3.36
In (0.3333, 0.6667, 0.2198) [2 per cell]  3 Mn 2.89

---

[2]
VASP calculation (PBE) on a relaxed structure of Mn3In.

Output
- total moment (μB per cell) = 31.35
- E_form (eV per atom) = 0.4595

Cell lengths 8.9541, 8.9541, 2.8256 Å; angles 90.00, 90.00, 120.00 degrees
Closest atoms and distances in Å follow each position.
Space group R-3m (No. 166, hexagonal axes)
One atom of each set of equivalent atoms:
Mn (0.0000, 0.5000, 0.0000) [9 per cell]  6 Mn 2.75-2.83, 2 In 2.75
In (0.0000, 0.0000, 0.0000) [3 per cell]  6 Mn 2.75, 2 In 2.83

---

[3]
VASP calculation (PBE) on a relaxed structure of Mn3In.

Output
- total moment (μB per cell) = 1.90
- E_form (eV per atom) = 0.2095

Cell lengths 2.8351, 2.8351, 7.2342 Å; angles 90.00, 90.00, 90.00 degrees
Closest atoms and distances in Å follow each position.
Space group P4/mmm (No. 123)
One atom of each set of equivalent atoms:
Mn (0.0000, 0.0000, 0.0000) [1 per cell]  8 Mn 2.53
Mn (0.5000, 0.5000, 0.2129) [2 per cell]  4 Mn 2.53
In (0.0000, 0.0000, 0.5000) [1 per cell]  4 In 2.84, 8 Mn 2.89